Entry 1:
## PaCuAs3 (PBE)

Data for PaCuAs3 after structural relaxation.

Lattice parameters (Å, degrees): 11.964 5.765 5.633 90.00 90.00 90.00
Space group Pbcm (No. 57)
Inequivalent atoms, fractional coordinates:
Pa 0.191 0.004 0.250
Cu 0.409 0.750 0.000
As 0.000 0.250 0.000
As 0.246 0.507 0.250
As 0.428 0.104 0.250

M_tot in Bohr magnetons per cell: 0.00
Calculated volume in Å³/atom: 19.428
ρ in g/cm³: 8.88
DOS at the Fermi energy in states/eV per cell: 18.238
Formation energy from the elements in eV per atom: -0.4502
VASP energy in eV/atom: -5.9584

---

Entry 2:
## SbWSeI2 (PBE)

Data for SbWSeI2 after structural relaxation.

Lattice parameters (Å, degrees): 5.261 5.261 5.468 90.00 90.00 90.00
Space group P4/mmm (No. 123)
Inequivalent atoms, fractional coordinates:
Sb 0.000 0.000 0.000
W 0.000 0.000 0.500
Se 0.500 0.500 0.000
I 0.000 0.500 0.500

M_tot in Bohr magnetons per cell: 0.00
Calculated volume in Å³/atom: 30.272
ΔE_f (raw) in eV per atom: 0.792
ρ in g/cm³: 7.00
DOS at the Fermi energy in states/eV per cell: 4.233
VASP energy in eV/atom: -3.9400
Energy above the lowest structure with this stoichiometry in kJ per mole of atoms: 0.0

---

Entry 3:
## LaSm3ErSc (PBE)

Data for LaSm3ErSc after structural relaxation.

Lattice parameters (Å, degrees): 7.930 5.089 10.126 90.00 108.85 90.00
Space group P2_1/m (No. 11)
Inequivalent atoms, fractional coordinates:
La 0.177 0.250 0.297
Sm 0.172 0.250 0.790
Sm 0.172 0.750 0.043
Sm 0.178 0.750 0.544
Er 0.499 0.750 0.874
Sc 0.500 0.250 0.625

M_tot in Bohr magnetons per cell: 0.00
Calculated volume in Å³/atom: 32.226
ρ in g/cm³: 6.89
DOS at the Fermi energy in states/eV per cell: 20.687
Formation energy from the elements in eV per atom: 0.0493
VASP energy in eV/atom: -4.9473